No. 1
Material: Tm3InAu
Method: DFT, PBE-GGA
State: relaxed

The value obtained for the calculated density is 10.19 g cm⁻³. The value obtained for the spin magnetization is 0.000 μB per atom. Its crystal system is monoclinic. The value obtained for the calculated formation energy is -0.415 eV/atom.

Unit cell a=14.368 b=6.741 c=11.031 alpha=90.00 beta=92.28 gamma=90.00
Space group C2/c (No. 15)
Asymmetric unit:
Tm 0.053 0.206 0.083 (multiplicity 8)
Tm 0.117 0.469 0.834 (multiplicity 8)
Tm 0.184 0.030 0.330 (multiplicity 8)
In 0.131 0.266 0.577 (multiplicity 8)
Au 0.000 0.112 0.750 (multiplicity 4)
Au 0.250 0.250 0.000 (multiplicity 4)

No. 2
Material: Ac6Ru2I2N
Method: DFT, PBE-GGA
State: relaxed

The value obtained for the calculated density is 7.57 g cm⁻³. Its uncorrected formation energy is -7.40 eV per formula unit. The value obtained for the spin magnetization is 0.000 μB per atom. Its crystal system is monoclinic.

Unit cell a=7.266 b=12.541 c=9.235 alpha=90.00 beta=107.30 gamma=90.00
Space group C2/m (No. 12)
Asymmetric unit:
Ac 0.224 0.160 0.178 (multiplicity 8)
Ac 0.243 0.000 0.831 (multiplicity 4)
Ru 0.000 0.330 0.000 (multiplicity 4)
I 0.000 0.170 0.500 (multiplicity 4)
N 0.000 0.000 0.000 (multiplicity 2)

No. 3
Material: LaNd4Tl5
Method: DFT, PBE-GGA
State: relaxed

The value obtained for the calculated density is 9.57 g cm⁻³. The value obtained for the spin magnetization is 0.000 μB per atom. Its crystal system is tetragonal. The value obtained for the calculated formation energy is -0.398 eV/atom.

Unit cell a=3.896 b=3.896 c=19.875 alpha=90.00 beta=90.00 gamma=90.00
Space group P4/mmm (No. 123)
Asymmetric unit:
La 0.000 0.000 0.000 (multiplicity 1)
Nd 0.000 0.000 0.203 (multiplicity 2)
Nd 0.000 0.000 0.401 (multiplicity 2)
Tl 0.500 0.500 0.105 (multiplicity 2)
Tl 0.500 0.500 0.302 (multiplicity 2)
Tl 0.500 0.500 0.500 (multiplicity 1)